(one)
Entry from the Alexandria database: a relaxed ZrNbSn2 crystal (PBE).

Summary:
V, Å³ per cell: 185
Space-group type: I-42d, No. 122

a = 6.2913 Å, b = 6.2913 Å, c = 6.2913 Å
α = 103.85°, β = 103.85°, γ = 121.41°
Sites, in units of the cell vectors:
Zr  0.0000  0.0000  0.0000
Zr  0.7500  0.2500  0.5000
Nb  0.2500  0.7500  0.5000
Nb  0.5000  0.5000  0.0000
Sn  0.1350  0.6250  0.0100
Sn  0.3750  0.3850  0.5100
Sn  0.6150  0.1250  0.9900
Sn  0.8750  0.8650  0.4900

(two)
Entry from the Alexandria database: a relaxed ZrNbSn2 crystal (PBE).

Summary:
V, Å³ per cell: 85
Space-group type: Fm-3m, No. 225

a = 4.9321 Å, b = 4.9321 Å, c = 4.9321 Å
α = 60.00°, β = 60.00°, γ = 60.00°
Sites, in units of the cell vectors:
Zr  0.0000  0.0000  0.0000
Nb  0.5000  0.5000  0.5000
Sn  0.2500  0.2500  0.2500
Sn  0.7500  0.7500  0.7500

(three)
Entry from the Alexandria database: a relaxed ZrNbSn2 crystal (PBE).

Summary:
V, Å³ per cell: 93
Space-group type: R-3m, No. 166

a = 10.9145 Å, b = 10.9145 Å, c = 10.9145 Å
α = 16.69°, β = 16.69°, γ = 16.69°
Sites, in units of the cell vectors:
Zr  0.0000  0.0000  0.0000
Nb  0.5000  0.5000  0.5000
Sn  0.0928  0.0928  0.0928
Sn  0.9072  0.9072  0.9072

Which of them is least stable? Easy: (three).

(one)
Entry from the Alexandria database: a relaxed ZrNb2Sn2 crystal (PBE).

Summary:
V, Å³ per cell: 213
Space-group type: P4/mbm, No. 127

a = 8.2763 Å, b = 8.2763 Å, c = 3.1110 Å
α = 90.00°, β = 90.00°, γ = 90.00°
Sites, in units of the cell vectors:
Zr  0.0000  0.0000  0.0000
Zr  0.5000  0.5000  0.0000
Nb  0.1174  0.3826  0.0000
Nb  0.3826  0.8826  0.0000
Nb  0.6174  0.1174  0.0000
Nb  0.8826  0.6174  0.0000
Sn  0.1787  0.6787  0.5000
Sn  0.3213  0.1787  0.5000
Sn  0.6787  0.8213  0.5000
Sn  0.8213  0.3213  0.5000

(two)
Entry from the Alexandria database: a relaxed ZrNb2Sn2 crystal (PBE).

Summary:
V, Å³ per cell: 209
Space-group type: P4/mbm, No. 127

a = 7.5355 Å, b = 7.5355 Å, c = 3.6815 Å
α = 90.00°, β = 90.00°, γ = 90.00°
Sites, in units of the cell vectors:
Zr  0.0000  0.0000  0.0000
Zr  0.5000  0.5000  0.0000
Nb  0.1634  0.3366  0.5000
Nb  0.3366  0.8366  0.5000
Nb  0.6634  0.1634  0.5000
Nb  0.8366  0.6634  0.5000
Sn  0.1365  0.6365  0.0000
Sn  0.3635  0.1365  0.0000
Sn  0.6365  0.8635  0.0000
Sn  0.8635  0.3635  0.0000

Which of them is least stable? Easy: (one).

(one)
Entry from the Alexandria database: a relaxed SrNb crystal (PBE).

Summary:
V, Å³ per cell: 113
Space-group type: F-43m, No. 216

a = 5.4223 Å, b = 5.4223 Å, c = 5.4223 Å
α = 60.00°, β = 60.00°, γ = 60.00°
Sites, in units of the cell vectors:
Sr  0.0000  0.0000  0.0000
Nb  0.7500  0.7500  0.7500

(two)
Entry from the Alexandria database: a relaxed SrNb crystal (PBE).

Summary:
V, Å³ per cell: 254
Space-group type: Fddd, No. 70

a = 9.4846 Å, b = 8.5724 Å, c = 5.9869 Å
α = 79.12°, β = 62.57°, γ = 38.31°
Sites, in units of the cell vectors:
Sr  0.0417  0.7083  0.0417
Sr  0.2917  0.9583  0.2917
Sr  0.7083  0.0417  0.7083
Sr  0.9583  0.2917  0.9583
Nb  0.3055  0.3055  0.4445
Nb  0.4445  0.4445  0.3055
Nb  0.5555  0.5555  0.6945
Nb  0.6945  0.6945  0.5555

Which of them is least stable? Easy: (one).

(one)
Entry from the Alexandria database: a relaxed SrNb crystal (PBE).

Summary:
V, Å³ per cell: 473
Space-group type: I-43m, No. 217

a = 8.5010 Å, b = 8.5010 Å, c = 8.5010 Å
α = 109.47°, β = 109.47°, γ = 109.47°
Sites, in units of the cell vectors:
Sr  0.0000  0.0000  0.5753
Sr  0.0000  0.5753  0.0000
Sr  0.4247  0.4247  0.4247
Sr  0.5753  0.0000  0.0000
Nb  0.0000  0.0000  0.1839
Nb  0.0000  0.1839  0.0000
Nb  0.1839  0.0000  0.0000
Nb  0.8161  0.8161  0.8161

(two)
Entry from the Alexandria database: a relaxed SrNb crystal (PBE).

Summary:
V, Å³ per cell: 338
Space-group type: I4/m, No. 87

a = 10.2085 Å, b = 10.2085 Å, c = 10.2085 Å
α = 91.52°, β = 91.52°, γ = 161.24°
Sites, in units of the cell vectors:
Sr  0.0400  0.3027  0.3427
Sr  0.3027  0.9600  0.2627
Sr  0.6973  0.0400  0.7373
Sr  0.9600  0.6973  0.6573
Nb  0.1831  0.7532  0.9362
Nb  0.2468  0.1831  0.4299
Nb  0.7532  0.8169  0.5701
Nb  0.8169  0.2468  0.0638

(three)
Entry from the Alexandria database: a relaxed SrNb crystal (PBE).

Summary:
V, Å³ per cell: 69
Space-group type: Fm-3m, No. 225

a = 4.6096 Å, b = 4.6096 Å, c = 4.6096 Å
α = 60.00°, β = 60.00°, γ = 60.00°
Sites, in units of the cell vectors:
Sr  0.0000  0.0000  0.0000
Nb  0.5000  0.5000  0.5000

(four)
Entry from the Alexandria database: a relaxed SrNb crystal (PBE).

Summary:
V, Å³ per cell: 428
Space-group type: P6_3/m, No. 176

a = 12.2063 Å, b = 12.2063 Å, c = 3.3195 Å
α = 90.00°, β = 90.00°, γ = 120.00°
Sites, in units of the cell vectors:
Sr  0.0439  0.3410  0.2500
Sr  0.2971  0.9561  0.2500
Sr  0.3410  0.2971  0.7500
Sr  0.6590  0.7029  0.2500
Sr  0.7029  0.0439  0.7500
Sr  0.9561  0.6590  0.7500
Nb  0.2065  0.6516  0.2500
Nb  0.3484  0.5549  0.2500
Nb  0.4451  0.7935  0.2500
Nb  0.5549  0.2065  0.7500
Nb  0.6516  0.4451  0.7500
Nb  0.7935  0.3484  0.7500

Which of them is least stable? Easy: (three).

(one)
Entry from the Alexandria database: a relaxed SrNb crystal (PBE).

Summary:
V, Å³ per cell: 477
Space-group type: P4/mmm, No. 123

a = 12.0632 Å, b = 12.0632 Å, c = 3.2813 Å
α = 90.00°, β = 90.00°, γ = 90.00°
Sites, in units of the cell vectors:
Sr  0.0000  0.2718  0.0000
Sr  0.0000  0.7282  0.0000
Sr  0.2718  0.0000  0.0000
Sr  0.2748  0.2748  0.5000
Sr  0.2748  0.7252  0.5000
Sr  0.7252  0.2748  0.5000
Sr  0.7252  0.7252  0.5000
Sr  0.7282  0.0000  0.0000
Nb  0.1147  0.5000  0.5000
Nb  0.3344  0.5000  0.0000
Nb  0.5000  0.1147  0.5000
Nb  0.5000  0.3344  0.0000
Nb  0.5000  0.6656  0.0000
Nb  0.5000  0.8853  0.5000
Nb  0.6656  0.5000  0.0000
Nb  0.8853  0.5000  0.5000

(two)
Entry from the Alexandria database: a relaxed SrNb crystal (PBE).

Summary:
V, Å³ per cell: 203
Space-group type: P6_3/mmc, No. 194

a = 5.8545 Å, b = 5.8545 Å, c = 6.8234 Å
α = 90.00°, β = 90.00°, γ = 120.00°
Sites, in units of the cell vectors:
Sr  0.3333  0.6667  0.2500
Sr  0.6667  0.3333  0.7500
Nb  0.3333  0.6667  0.7500
Nb  0.6667  0.3333  0.2500

(three)
Entry from the Alexandria database: a relaxed SrNb crystal (PBE).

Summary:
V, Å³ per cell: 859
Space-group type: Pm-3n, No. 223

a = 9.5049 Å, b = 9.5049 Å, c = 9.5049 Å
α = 90.00°, β = 90.00°, γ = 90.00°
Sites, in units of the cell vectors:
Sr  0.0000  0.2500  0.5000
Sr  0.0000  0.7500  0.5000
Sr  0.2500  0.5000  0.0000
Sr  0.5000  0.0000  0.2500
Sr  0.5000  0.0000  0.7500
Sr  0.7500  0.5000  0.0000
Nb  0.0000  0.5000  0.2500
Nb  0.0000  0.5000  0.7500
Nb  0.2500  0.0000  0.5000
Nb  0.5000  0.2500  0.0000
Nb  0.5000  0.7500  0.0000
Nb  0.7500  0.0000  0.5000

Which of them is least stable? Easy: (three).

(one)
Entry from the Alexandria database: a relaxed SrNb crystal (PBE).

Summary:
V, Å³ per cell: 260
Space-group type: Cmcm, No. 63

a = 6.5755 Å, b = 6.5755 Å, c = 6.2385 Å
α = 90.00°, β = 90.00°, γ = 74.84°
Sites, in units of the cell vectors:
Sr  0.0302  0.3250  0.2500
Sr  0.3250  0.0302  0.7500
Sr  0.6750  0.9698  0.2500
Sr  0.9698  0.6750  0.7500
Nb  0.2602  0.7398  0.2500
Nb  0.5000  0.5000  0.0000
Nb  0.5000  0.5000  0.5000
Nb  0.7398  0.2602  0.7500

(two)
Entry from the Alexandria database: a relaxed SrNb crystal (PBE).

Summary:
V, Å³ per cell: 299
Space-group type: P4_2/mnm, No. 136

a = 6.7012 Å, b = 6.7012 Å, c = 6.6657 Å
α = 90.00°, β = 90.00°, γ = 90.00°
Sites, in units of the cell vectors:
Sr  0.1729  0.1729  0.0000
Sr  0.3271  0.6729  0.5000
Sr  0.6729  0.3271  0.5000
Sr  0.8271  0.8271  0.0000
Nb  0.1151  0.1151  0.5000
Nb  0.3849  0.6151  0.0000
Nb  0.6151  0.3849  0.0000
Nb  0.8849  0.8849  0.5000

(three)
Entry from the Alexandria database: a relaxed SrNb crystal (PBE).

Summary:
V, Å³ per cell: 206
Space-group type: Immm, No. 71

a = 8.7942 Å, b = 8.7942 Å, c = 8.7942 Å
α = 151.17°, β = 141.00°, γ = 49.22°
Sites, in units of the cell vectors:
Sr  0.0000  0.0000  0.0000
Sr  0.1836  0.6836  0.5000
Sr  0.8164  0.3164  0.5000
Nb  0.4129  0.9129  0.5000
Nb  0.5000  0.5000  0.0000
Nb  0.5871  0.0871  0.5000

Which of them is least stable? Easy: (two).